# Li2BiAsCO7 | Alexandria | GGA-PBEsol | optimized geometry
# Fermi-level density of states   0.00 states/eV per cell
# Energy relative to the elements, uncorrected   -1.552 eV/atom
# Raw total energy   -6.528 eV/atom
# V   13.7 Å³/atom
data_Li2BiAsCO7
_chemical_formula_sum 'Li4 Bi2 As2 C2 O14'
_cell_length_a 5.1054
_cell_length_b 7.0093
_cell_length_c 9.2045
_cell_angle_alpha 90.00
_cell_angle_beta 94.39
_cell_angle_gamma 90.00
_symmetry_space_group_name_H-M 'P 1'
_symmetry_Int_Tables_number 1
_symmetry_space_group_name_Hall 'P 1'
loop_
_atom_site_label
_atom_site_type_symbol
_atom_site_fract_x
_atom_site_fract_y
_atom_site_fract_z
Li1 Li 0.2239 0.0521 0.3136
Li2 Li 0.2239 0.4479 0.3136
Li3 Li 0.7761 0.5521 0.6864
Li4 Li 0.7761 0.9479 0.6864
Bi1 Bi 0.1769 0.2500 0.8902
Bi2 Bi 0.8231 0.7500 0.1098
As1 As 0.2923 0.7500 0.8653
As2 As 0.7077 0.2500 0.1347
C1 C 0.1387 0.2500 0.5939
C2 C 0.8613 0.7500 0.4061
O1 O 0.0779 0.7500 0.3368
O2 O 0.0903 0.5587 0.8263
O3 O 0.0903 0.9413 0.8263
O4 O 0.1360 0.2500 0.4568
O5 O 0.3589 0.2500 0.6776
O6 O 0.3661 0.7500 0.0522
O7 O 0.4271 0.2500 0.2186
O8 O 0.5729 0.7500 0.7814
O9 O 0.6339 0.2500 0.9478
O10 O 0.6411 0.7500 0.3224
O11 O 0.8640 0.7500 0.5432
O12 O 0.9097 0.0587 0.1737
O13 O 0.9097 0.4413 0.1737
O14 O 0.9221 0.2500 0.6632

=====

# Na3BiAsCO7 | Alexandria | GGA-PBEsol | optimized geometry
# Fermi-level density of states   0.39 states/eV per cell
# Energy relative to the elements, uncorrected   -1.476 eV/atom
# Raw total energy   -6.090 eV/atom
# V   13.8 Å³/atom
data_Na3BiAsCO7
_chemical_formula_sum 'Na6 Bi2 As2 C2 O14'
_cell_length_a 5.0034
_cell_length_b 7.3341
_cell_length_c 9.7478
_cell_angle_alpha 90.00
_cell_angle_beta 90.16
_cell_angle_gamma 90.00
_symmetry_space_group_name_H-M 'P 1'
_symmetry_Int_Tables_number 1
_symmetry_space_group_name_Hall 'P 1'
loop_
_atom_site_label
_atom_site_type_symbol
_atom_site_fract_x
_atom_site_fract_y
_atom_site_fract_z
Na1 Na 0.2331 0.2500 0.4177
Na2 Na 0.2574 0.5150 0.7445
Na3 Na 0.2574 0.9850 0.7445
Na4 Na 0.7426 0.0150 0.2555
Na5 Na 0.7426 0.4850 0.2555
Na6 Na 0.7669 0.7500 0.5823
Bi1 Bi 0.2402 0.7500 0.1508
Bi2 Bi 0.7598 0.2500 0.8492
As1 As 0.2728 0.2500 0.0965
As2 As 0.7272 0.7500 0.9035
C1 C 0.2668 0.7500 0.4494
C2 C 0.7332 0.2500 0.5506
O1 O 0.0427 0.7500 0.3812
O2 O 0.2079 0.2500 0.8928
O3 O 0.2295 0.0596 0.2130
O4 O 0.2295 0.4404 0.2130
O5 O 0.2640 0.7500 0.5819
O6 O 0.3742 0.7500 0.9154
O7 O 0.4907 0.7500 0.3831
O8 O 0.5093 0.2500 0.6169
O9 O 0.6258 0.2500 0.0846
O10 O 0.7360 0.2500 0.4181
O11 O 0.7705 0.5596 0.7870
O12 O 0.7705 0.9404 0.7870
O13 O 0.7921 0.7500 0.1072
O14 O 0.9573 0.2500 0.6188

=====

# Na4Bi2AsC4O16 | Alexandria | GGA-PBEsol | optimized geometry
# Fermi-level density of states   17.89 states/eV per cell
# Energy relative to the elements, uncorrected   -1.381 eV/atom
# Raw total energy   -6.634 eV/atom
# V   14.7 Å³/atom
data_Na4Bi2AsC4O16
_chemical_formula_sum 'Na8 Bi4 As2 C8 O32'
_cell_length_a 10.5934
_cell_length_b 10.4742
_cell_length_c 10.1479
_cell_angle_alpha 61.80
_cell_angle_beta 60.62
_cell_angle_gamma 57.59
_symmetry_space_group_name_H-M 'P 1'
_symmetry_Int_Tables_number 1
_symmetry_space_group_name_Hall 'P 1'
loop_
_atom_site_label
_atom_site_type_symbol
_atom_site_fract_x
_atom_site_fract_y
_atom_site_fract_z
Na1 Na 0.0806 0.6694 0.0806
Na2 Na 0.0817 0.6683 0.6683
Na3 Na 0.3306 0.9194 0.3306
Na4 Na 0.3317 0.9183 0.9183
Na5 Na 0.6683 0.0817 0.0817
Na6 Na 0.6694 0.0806 0.6694
Na7 Na 0.9183 0.3317 0.3317
Na8 Na 0.9194 0.3306 0.9194
Bi1 Bi 0.0000 0.5000 0.5000
Bi2 Bi 0.5000 0.0000 0.5000
Bi3 Bi 0.5000 0.5000 0.0000
Bi4 Bi 0.5000 0.5000 0.5000
As1 As 0.1250 0.1250 0.1250
As2 As 0.8750 0.8750 0.8750
C1 C 0.2650 0.6598 0.2916
C2 C 0.2836 0.2916 0.6598
C3 C 0.2916 0.2836 0.2650
C4 C 0.3402 0.7350 0.7164
C5 C 0.6598 0.2650 0.2836
C6 C 0.7084 0.7164 0.7350
C7 C 0.7164 0.7084 0.3402
C8 C 0.7350 0.3402 0.7084
O1 O 0.0409 0.3272 0.0663
O2 O 0.0663 0.0656 0.0409
O3 O 0.0656 0.0663 0.3272
O4 O 0.1429 0.6509 0.4137
O5 O 0.1532 0.3016 0.6670
O6 O 0.1572 0.4055 0.2748
O7 O 0.2748 0.6625 0.1572
O8 O 0.2926 0.4137 0.6509
O9 O 0.3016 0.1532 0.3782
O10 O 0.3272 0.0409 0.0656
O11 O 0.3330 0.6218 0.8468
O12 O 0.3375 0.7252 0.5945
O13 O 0.3491 0.8571 0.7074
O14 O 0.3782 0.6670 0.3016
O15 O 0.4055 0.1572 0.6625
O16 O 0.4137 0.2926 0.1429
O17 O 0.5863 0.7074 0.8571
O18 O 0.5945 0.8428 0.3375
O19 O 0.6218 0.3330 0.6984
O20 O 0.6509 0.1429 0.2926
O21 O 0.6625 0.2748 0.4055
O22 O 0.6670 0.3782 0.1532
O23 O 0.6728 0.9591 0.9344
O24 O 0.6984 0.8468 0.6218
O25 O 0.7074 0.5863 0.3491
O26 O 0.7252 0.3375 0.8428
O27 O 0.8428 0.5945 0.7252
O28 O 0.8468 0.6984 0.3330
O29 O 0.8571 0.3491 0.5863
O30 O 0.9344 0.9337 0.6728
O31 O 0.9337 0.9344 0.9591
O32 O 0.9591 0.6728 0.9337

=====

# BiAsPd2C | Alexandria | GGA-PBEsol | optimized geometry
# Fermi-level density of states   4.63 states/eV per cell
# Raw total energy   -3.894 eV/atom
# V   26.8 Å³/atom
# DFT formation energy   2.296 eV per atom
data_BiAsPd2C
_chemical_formula_sum 'Bi1 As1 Pd2 C1'
_cell_length_a 5.0182
_cell_length_b 5.0182
_cell_length_c 5.3214
_cell_angle_alpha 90.00
_cell_angle_beta 90.00
_cell_angle_gamma 90.00
_symmetry_space_group_name_H-M 'P 1'
_symmetry_Int_Tables_number 1
_symmetry_space_group_name_Hall 'P 1'
loop_
_atom_site_label
_atom_site_type_symbol
_atom_site_fract_x
_atom_site_fract_y
_atom_site_fract_z
Bi1 Bi 0.0000 0.0000 0.0000
As1 As 0.0000 0.0000 0.5000
Pd1 Pd 0.0000 0.5000 0.0000
Pd2 Pd 0.5000 0.0000 0.0000
C1 C 0.5000 0.5000 0.5000

=====

# BiAs2CSe | Alexandria | GGA-PBEsol | optimized geometry
# Fermi-level density of states   6.24 states/eV per cell
# Energy relative to the elements, uncorrected   2.412 eV/atom
# Raw total energy   -3.186 eV/atom
# V   32.0 Å³/atom
data_BiAs2CSe
_chemical_formula_sum 'Bi1 As2 C1 Se1'
_cell_length_a 5.4507
_cell_length_b 5.4507
_cell_length_c 5.3809
_cell_angle_alpha 90.00
_cell_angle_beta 90.00
_cell_angle_gamma 90.00
_symmetry_space_group_name_H-M 'P 1'
_symmetry_Int_Tables_number 1
_symmetry_space_group_name_Hall 'P 1'
loop_
_atom_site_label
_atom_site_type_symbol
_atom_site_fract_x
_atom_site_fract_y
_atom_site_fract_z
Bi1 Bi 0.0000 0.0000 0.0000
As1 As 0.0000 0.5000 0.0000
As2 As 0.5000 0.0000 0.0000
C1 C 0.5000 0.5000 0.5000
Se1 Se 0.0000 0.0000 0.5000

=====

# SnBiAsC2 | Alexandria | GGA-PBEsol | optimized geometry
# Fermi-level density of states   3.77 states/eV per cell
# Raw total energy   -4.564 eV/atom
# V   19.6 Å³/atom
# DFT formation energy   2.024 eV per atom
data_SnBiAsC2
_chemical_formula_sum 'Sn1 Bi1 As1 C2'
_cell_length_a 4.2981
_cell_length_b 4.2981
_cell_length_c 5.3099
_cell_angle_alpha 90.00
_cell_angle_beta 90.00
_cell_angle_gamma 90.00
_symmetry_space_group_name_H-M 'P 1'
_symmetry_Int_Tables_number 1
_symmetry_space_group_name_Hall 'P 1'
loop_
_atom_site_label
_atom_site_type_symbol
_atom_site_fract_x
_atom_site_fract_y
_atom_site_fract_z
Sn1 Sn 0.0000 0.0000 0.0000
Bi1 Bi 0.5000 0.5000 0.5000
As1 As 0.0000 0.0000 0.5000
C1 C 0.0000 0.5000 0.0000
C2 C 0.5000 0.0000 0.0000